# 1
PBE-GGA PrYHgAu, relaxed; E_tot = -0.1590 hartree per atom; magnetic moment = 0.0 μB per formula unit; SG = F-43m; formation energy from the elements = -622 meV per atom
1.0
5.2873 0.0000 0.0000
2.6437 4.5790 0.0000
2.6437 1.5263 4.3171
Pr Y Au Hg
1 1 1 1
Direct
0.2500 0.2500 0.2500
0.7500 0.7500 0.7500
0.5000 0.5000 0.5000
0.0000 0.0000 0.0000

***

# 2
PBE-GGA BeRe2Ir, relaxed; E_tot = -0.3407 hartree per atom; magnetic moment = 0.0 μB per formula unit; SG = R-3m; formation energy from the elements = 99 meV per atom
1.0
8.5764 -0.0247 -0.0145
8.1465 2.6816 -0.0145
8.1465 1.2943 2.3486
Re Ir Be
2 1 1
Direct
0.9959 0.9959 0.9959
0.5041 0.5041 0.5041
0.7500 0.7500 0.7500
0.2500 0.2500 0.2500

***

# 3
PBE-GGA La4HoSc, relaxed; E_tot = -0.1856 hartree per atom; magnetic moment = 0.0 μB per formula unit; SG = Cmmm; formation energy from the elements = 54 meV per atom
1.0
-3.0622 -7.2497 -1.0779
2.1077 -7.6225 -0.7425
-0.3773 -0.6049 5.1452
La Ho Sc
4 1 1
Direct
0.3363 0.3363 0.9999
0.6637 0.6637 0.0001
0.8380 0.8380 0.5000
0.1620 0.1620 0.5000
0.5000 0.5000 0.5000
0.0000 0.0000 0.0000

***

# 4
PBE-GGA Cs6Al3Cl14, relaxed; E_tot = -0.1311 hartree per atom; magnetic moment = 0.0 μB per formula unit; E_form (uncorrected) = -1732.0 meV/atom; SG = P3
1.0
6.6574 0.0000 0.0000
0.0000 10.9093 -6.2985
0.0000 0.0000 12.5970
Cs Al Cl
6 3 14
Direct
0.2552 0.7814 0.0945
0.2552 0.9055 0.6870
0.2552 0.3130 0.2186
0.7724 0.5514 0.5685
0.7724 0.4315 0.9829
0.7724 0.0171 0.4486
0.8137 0.0000 0.0000
0.3316 0.3333 0.6667
0.5010 0.6667 0.3333
0.9274 0.0596 0.1849
0.9274 0.8151 0.8746
0.9274 0.1254 0.9404
0.4437 0.2708 0.4815
0.4437 0.5185 0.7893
0.4437 0.2107 0.7292
0.4856 0.0000 0.0000
0.0040 0.3333 0.6667
0.7043 0.7250 0.2127
0.7043 0.7873 0.5123
0.7043 0.4877 0.2750
0.2993 0.6087 0.4547
0.2993 0.5453 0.1539
0.2993 0.8461 0.3913

***

no.,calculated density (g/cm³)
1,9.97
2,17.38
3,6.28
4,2.50